{"formula": "Pm3Sm2Er6Pb", "functional": "GGA-PBE", "state": "relaxed", "delta_e_f_mev_per_atom": -62.2, "e_tot_ev_per_atom": -4.63, "sg": "No. 12", "cell": [[3.0618, -5.3022, 0.0000], [3.0618, 5.3022, 0.0000], [-2.0502, 0.0000, 11.5252]], "species": ["Pm", "Pm", "Pm", "Sm", "Sm", "Er", "Er", "Er", "Er", "Er", "Er", "Pb"], "fractional_positions": [[0.0000, 0.0000, 0.0000], [0.3325, 0.6675, 0.0000], [0.6675, 0.3325, 0.0000], [0.1662, 0.8338, 0.5000], [0.8338, 0.1662, 0.5000], [0.0911, 0.4184, 0.2532], [0.2546, 0.2546, 0.7478], [0.4184, 0.0911, 0.2532], [0.5816, 0.9089, 0.7468], [0.7454, 0.7454, 0.2522], [0.9089, 0.5816, 0.7468], [0.5000, 0.5000, 0.5000]]}


{"formula": "PmSmErPb", "functional": "GGA-PBE", "state": "relaxed", "delta_e_f_mev_per_atom": -139.5, "e_tot_ev_per_atom": -4.57, "sg": "No. 216", "cell": [[0.0000, 3.9239, 3.9239], [3.9239, 0.0000, 3.9239], [3.9239, 3.9239, 0.0000]], "species": ["Pm", "Sm", "Er", "Pb"], "fractional_positions": [[0.0000, 0.0000, 0.0000], [0.5000, 0.5000, 0.5000], [0.7500, 0.7500, 0.7500], [0.2500, 0.2500, 0.2500]]}


{"formula": "PmErSnPb", "functional": "GGA-PBE", "state": "relaxed", "delta_e_f_mev_per_atom": -465.6, "e_tot_ev_per_atom": -4.72, "sg": "No. 216", "cell": [[0.0000, 3.8491, 3.8491], [3.8491, 0.0000, 3.8491], [3.8491, 3.8491, 0.0000]], "species": ["Pm", "Er", "Sn", "Pb"], "fractional_positions": [[0.0000, 0.0000, 0.0000], [0.5000, 0.5000, 0.5000], [0.7500, 0.7500, 0.7500], [0.2500, 0.2500, 0.2500]]}


{"formula": "TbPmErPb", "functional": "GGA-PBE", "state": "relaxed", "delta_e_f_mev_per_atom": -84.2, "e_tot_ev_per_atom": -4.50, "sg": "No. 216", "cell": [[0.0000, 3.8822, 3.8822], [3.8822, 0.0000, 3.8822], [3.8822, 3.8822, 0.0000]], "species": ["Tb", "Pm", "Er", "Pb"], "fractional_positions": [[0.0000, 0.0000, 0.0000], [0.7500, 0.7500, 0.7500], [0.5000, 0.5000, 0.5000], [0.2500, 0.2500, 0.2500]]}


{"formula": "PmErTePb", "functional": "GGA-PBE", "state": "relaxed", "e_tot_ev_per_atom": -4.99, "sg": "No. 160", "raw_formation_energy_ev_per_fu": -3.8, "cell": [[2.2284, 1.2866, 7.2745], [-2.2284, 1.2866, 7.2745], [0.0000, -2.5731, 7.2745]], "species": ["Pm", "Er", "Te", "Pb"], "fractional_positions": [[0.0000, 0.0000, 0.0000], [0.4940, 0.4940, 0.4940], [0.2436, 0.2436, 0.2436], [0.7499, 0.7499, 0.7499]]}


{"formula": "PmErTlPb", "functional": "GGA-PBE", "state": "relaxed", "delta_e_f_mev_per_atom": -403.6, "e_above_lowest_polymorph_mev_per_atom": 0, "e_tot_ev_per_atom": -4.25, "sg": "No. 119", "cell": [[-2.5205, 2.5205, 4.4494], [2.5205, -2.5205, 4.4494], [2.5205, 2.5205, -4.4494]], "species": ["Pm", "Er", "Tl", "Pb"], "fractional_positions": [[0.0000, 0.0000, 0.0000], [0.5000, 0.5000, 0.0000], [0.7500, 0.2500, 0.5000], [0.2500, 0.7500, 0.5000]]}


{"formula": "PmErTlPb", "functional": "GGA-PBE", "state": "relaxed", "delta_e_f_mev_per_atom": -366.6, "e_above_lowest_polymorph_mev_per_atom": 37, "e_tot_ev_per_atom": -4.21, "sg": "No. 216", "cell": [[0.0000, 3.8519, 3.8519], [3.8519, 0.0000, 3.8519], [3.8519, 3.8519, 0.0000]], "species": ["Pm", "Er", "Tl", "Pb"], "fractional_positions": [[0.0000, 0.0000, 0.0000], [0.5000, 0.5000, 0.5000], [0.7500, 0.7500, 0.7500], [0.2500, 0.2500, 0.2500]]}


{"formula": "PmErTmPb", "functional": "GGA-PBE", "state": "relaxed", "delta_e_f_mev_per_atom": -110.6, "e_tot_ev_per_atom": -4.48, "sg": "No. 216", "cell": [[0.0000, 3.8833, 3.8833], [3.8833, 0.0000, 3.8833], [3.8833, 3.8833, 0.0000]], "species": ["Pm", "Er", "Tm", "Pb"], "fractional_positions": [[0.0000, 0.0000, 0.0000], [0.5000, 0.5000, 0.5000], [0.7500, 0.7500, 0.7500], [0.2500, 0.2500, 0.2500]]}


{"formula": "Pm2Er6Tm3Pb", "functional": "GGA-PBE", "state": "relaxed", "delta_e_f_mev_per_atom": -61.0, "e_tot_ev_per_atom": -4.56, "sg": "No. 12", "cell": [[3.0228, -5.2384, 0.0000], [3.0228, 5.2384, 0.0000], [-2.0222, 0.0000, 11.4808]], "species": ["Pm", "Pm", "Er", "Er", "Er", "Er", "Er", "Er", "Tm", "Tm", "Tm", "Pb"], "fractional_positions": [[0.1661, 0.8339, 0.0000], [0.8339, 0.1661, 0.0000], [0.0885, 0.4166, 0.7480], [0.2557, 0.2557, 0.2531], [0.4166, 0.0885, 0.7480], [0.5834, 0.9115, 0.2520], [0.7443, 0.7443, 0.7469], [0.9115, 0.5834, 0.2520], [0.0000, 0.0000, 0.5000], [0.3329, 0.6671, 0.5000], [0.6671, 0.3329, 0.5000], [0.5000, 0.5000, 0.0000]]}


{"formula": "Pm3Er6Tm2Pb", "functional": "GGA-PBE", "state": "relaxed", "delta_e_f_mev_per_atom": -41.4, "e_tot_ev_per_atom": -4.56, "sg": "No. 12", "cell": [[3.0570, -5.2934, 0.0000], [3.0570, 5.2934, 0.0000], [-2.0504, 0.0000, 11.3945]], "species": ["Pm", "Pm", "Pm", "Er", "Er", "Er", "Er", "Er", "Er", "Tm", "Tm", "Pb"], "fractional_positions": [[0.0000, 0.0000, 0.0000], [0.3329, 0.6671, 0.0000], [0.6671, 0.3329, 0.0000], [0.0910, 0.4200, 0.2561], [0.2514, 0.2514, 0.7453], [0.4200, 0.0910, 0.2561], [0.5800, 0.9090, 0.7439], [0.7486, 0.7486, 0.2547], [0.9090, 0.5800, 0.7439], [0.1657, 0.8343, 0.5000], [0.8343, 0.1657, 0.5000], [0.5000, 0.5000, 0.5000]]}


{"formula": "Pm2Er3Tm6Pb", "functional": "GGA-PBE", "state": "relaxed", "delta_e_f_mev_per_atom": -61.2, "e_tot_ev_per_atom": -4.54, "sg": "No. 12", "cell": [[3.0186, -5.2315, 0.0000], [3.0186, 5.2315, 0.0000], [-2.0222, 0.0000, 11.4562]], "species": ["Pm", "Pm", "Er", "Er", "Er", "Tm", "Tm", "Tm", "Tm", "Tm", "Tm", "Pb"], "fractional_positions": [[0.1662, 0.8338, 0.0000], [0.8338, 0.1662, 0.0000], [0.0000, 0.0000, 0.5000], [0.3329, 0.6671, 0.5000], [0.6671, 0.3329, 0.5000], [0.0889, 0.4171, 0.7487], [0.2551, 0.2551, 0.2523], [0.4171, 0.0889, 0.7487], [0.5829, 0.9111, 0.2513], [0.7449, 0.7449, 0.7477], [0.9111, 0.5829, 0.2513], [0.5000, 0.5000, 0.0000]]}


{"formula": "Pm2Y3Er6Pb", "functional": "GGA-PBE", "state": "relaxed", "delta_e_f_mev_per_atom": -59.3, "e_tot_ev_per_atom": -5.06, "sg": "No. 12", "cell": [[3.0445, -5.2760, 0.0000], [3.0445, 5.2760, 0.0000], [-2.0366, 0.0000, 11.5317]], "species": ["Pm", "Pm", "Y", "Y", "Y", "Er", "Er", "Er", "Er", "Er", "Er", "Pb"], "fractional_positions": [[0.1661, 0.8339, 0.0000], [0.8339, 0.1661, 0.0000], [0.0000, 0.0000, 0.5000], [0.3330, 0.6670, 0.5000], [0.6670, 0.3330, 0.5000], [0.0900, 0.4177, 0.7506], [0.2551, 0.2551, 0.2503], [0.4177, 0.0900, 0.7506], [0.5823, 0.9100, 0.2494], [0.7449, 0.7449, 0.7497], [0.9100, 0.5823, 0.2494], [0.5000, 0.5000, 0.0000]]}


{"formula": "PmErZnPb", "functional": "GGA-PBE", "state": "relaxed", "delta_e_f_mev_per_atom": -370.1, "e_tot_ev_per_atom": -3.94, "sg": "No. 216", "cell": [[0.0000, 3.7374, 3.7374], [3.7374, 0.0000, 3.7374], [3.7374, 3.7374, 0.0000]], "species": ["Pm", "Er", "Zn", "Pb"], "fractional_positions": [[0.0000, 0.0000, 0.0000], [0.5000, 0.5000, 0.5000], [0.2500, 0.2500, 0.2500], [0.7500, 0.7500, 0.7500]]}


{"formula": "Pr3ErPb5", "functional": "GGA-PBE", "state": "relaxed", "delta_e_f_mev_per_atom": -485.8, "e_tot_ev_per_atom": -4.65, "sg": "No. 193", "cell": [[9.7619, 0.0000, 0.0000], [-4.8809, 8.4540, 0.0000], [0.0000, 0.0000, 6.6430]], "species": ["Pr", "Pr", "Pr", "Pr", "Pr", "Pr", "Er", "Er", "Pb", "Pb", "Pb", "Pb", "Pb", "Pb", "Pb", "Pb", "Pb", "Pb"], "fractional_positions": [[0.0000, 0.3824, 0.2500], [0.0000, 0.6176, 0.7500], [0.3824, 0.0000, 0.2500], [0.3824, 0.3824, 0.7500], [0.6176, 0.0000, 0.7500], [0.6176, 0.6176, 0.2500], [0.0000, 0.0000, 0.0000], [0.0000, 0.0000, 0.5000], [0.0000, 0.2802, 0.7500], [0.0000, 0.7198, 0.2500], [0.2802, 0.0000, 0.7500], [0.2802, 0.2802, 0.2500], [0.3333, 0.6667, 0.0000], [0.3333, 0.6667, 0.5000], [0.6667, 0.3333, 0.0000], [0.6667, 0.3333, 0.5000], [0.7198, 0.0000, 0.2500], [0.7198, 0.7198, 0.7500]]}


{"formula": "Pr5Er2Pb4", "functional": "GGA-PBE", "state": "relaxed", "delta_e_f_mev_per_atom": -126.3, "e_tot_ev_per_atom": -4.48, "sg": "No. 12", "cell": [[13.7819, -1.7959, 0.0000], [13.7819, 1.7959, 0.0000], [-0.3528, 0.0000, 7.6452]], "species": ["Pr", "Pr", "Pr", "Pr", "Pr", "Er", "Er", "Pb", "Pb", "Pb", "Pb"], "fractional_positions": [[0.0000, 0.0000, 0.0000], [0.2639, 0.2639, 0.7814], [0.3604, 0.3604, 0.1535], [0.6396, 0.6396, 0.8465], [0.7361, 0.7361, 0.2186], [0.4138, 0.4138, 0.6971], [0.5862, 0.5862, 0.3029], [0.1703, 0.1703, 0.4963], [0.4674, 0.4674, 0.3372], [0.5326, 0.5326, 0.6628], [0.8297, 0.8297, 0.5037]]}


{"formula": "Pr12Er7Pb", "functional": "GGA-PBE", "state": "relaxed", "delta_e_f_mev_per_atom": 636.2, "e_tot_ev_per_atom": -4.01, "sg": "No. 229", "cell": [[-5.8333, 5.8333, 5.8333], [5.8333, -5.8333, 5.8333], [5.8333, 5.8333, -5.8333]], "species": ["Pr", "Pr", "Pr", "Pr", "Pr", "Pr", "Pr", "Pr", "Pr", "Pr", "Pr", "Pr", "Er", "Er", "Er", "Er", "Er", "Er", "Er", "Pb"], "fractional_positions": [[0.0000, 0.2203, 0.7797], [0.0000, 0.7797, 0.2203], [0.2203, 0.0000, 0.7797], [0.2203, 0.2203, 0.4406], [0.2203, 0.4406, 0.2203], [0.2203, 0.7797, 0.0000], [0.4406, 0.2203, 0.2203], [0.5594, 0.7797, 0.7797], [0.7797, 0.0000, 0.2203], [0.7797, 0.2203, 0.0000], [0.7797, 0.5594, 0.7797], [0.7797, 0.7797, 0.5594], [0.0000, 0.0000, 0.5000], [0.0000, 0.5000, 0.0000], [0.0000, 0.5000, 0.5000], [0.5000, 0.0000, 0.0000], [0.5000, 0.0000, 0.5000], [0.5000, 0.5000, 0.0000], [0.5000, 0.5000, 0.5000], [0.0000, 0.0000, 0.0000]]}


{"formula": "Pr3ErPb", "functional": "GGA-PBE", "state": "relaxed", "delta_e_f_mev_per_atom": -176.5, "e_tot_ev_per_atom": -4.70, "sg": "No. 14", "cell": [[8.9667, 0.0000, 0.0000], [0.0000, 8.7846, 0.0000], [-5.1793, 0.0000, 8.6104]], "species": ["Pr", "Pr", "Pr", "Pr", "Pr", "Pr", "Pr", "Pr", "Pr", "Pr", "Pr", "Pr", "Er", "Er", "Er", "Er", "Pb", "Pb", "Pb", "Pb"], "fractional_positions": [[0.0937, 0.0868, 0.3004], [0.0937, 0.4132, 0.8004], [0.3144, 0.0638, 0.7097], [0.3144, 0.4362, 0.2097], [0.4036, 0.7054, 0.9403], [0.4036, 0.7946, 0.4403], [0.5964, 0.2054, 0.5597], [0.5964, 0.2946, 0.0597], [0.6856, 0.5638, 0.7903], [0.6856, 0.9362, 0.2903], [0.9063, 0.5868, 0.1996], [0.9063, 0.9132, 0.6996], [0.2530, 0.0665, 0.0320], [0.2530, 0.4335, 0.5320], [0.7470, 0.5665, 0.4680], [0.7470, 0.9335, 0.9680], [0.0973, 0.7486, 0.0399], [0.0973, 0.7514, 0.5399], [0.9027, 0.2486, 0.4601], [0.9027, 0.2514, 0.9601]]}


{"formula": "Pr2ErPb", "functional": "GGA-PBE", "state": "relaxed", "delta_e_f_mev_per_atom": 56.9, "e_above_lowest_polymorph_mev_per_atom": 366, "e_tot_ev_per_atom": -4.40, "sg": "No. 166", "cell": [[1.7641, 1.0185, 12.2980], [-1.7641, 1.0185, 12.2980], [0.0000, -2.0370, 12.2980]], "species": ["Pr", "Pr", "Er", "Pb"], "fractional_positions": [[0.0908, 0.0908, 0.0908], [0.9092, 0.9092, 0.9092], [0.0000, 0.0000, 0.0000], [0.5000, 0.5000, 0.5000]]}


{"formula": "Pr2ErPb3", "functional": "GGA-PBE", "state": "relaxed", "delta_e_f_mev_per_atom": -481.1, "e_above_lowest_polymorph_mev_per_atom": 0, "e_tot_ev_per_atom": -4.69, "sg": "No. 65", "cell": [[2.5227, -7.6853, 0.0000], [2.5227, 7.6853, 0.0000], [0.0000, 0.0000, 9.1865]], "species": ["Pr", "Pr", "Pr", "Pr", "Er", "Er", "Pb", "Pb", "Pb", "Pb", "Pb", "Pb"], "fractional_positions": [[0.0000, 0.0000, 0.0000], [0.0000, 0.0000, 0.5000], [0.3332, 0.6669, 0.0000], [0.6669, 0.3332, 0.0000], [0.3311, 0.6689, 0.5000], [0.6689, 0.3311, 0.5000], [0.1688, 0.8312, 0.2572], [0.1688, 0.8312, 0.7428], [0.5000, 0.5000, 0.2560], [0.5000, 0.5000, 0.7440], [0.8312, 0.1688, 0.2572], [0.8312, 0.1688, 0.7428]]}


{"formula": "PrEr4Pb4", "functional": "GGA-PBE", "state": "relaxed", "delta_e_f_mev_per_atom": -206.9, "e_tot_ev_per_atom": -4.41, "sg": "No. 86", "cell": [[10.0444, 0.0000, 0.0000], [0.0000, 10.0444, 0.0000], [0.0000, 0.0000, 6.1568]], "species": ["Pr", "Pr", "Er", "Er", "Er", "Er", "Er", "Er", "Er", "Er", "Pb", "Pb", "Pb", "Pb", "Pb", "Pb", "Pb", "Pb"], "fractional_positions": [[0.2500, 0.2500, 0.2500], [0.7500, 0.7500, 0.7500], [0.0972, 0.6472, 0.1608], [0.1472, 0.9028, 0.6608], [0.3528, 0.5972, 0.6608], [0.4028, 0.8528, 0.1608], [0.5972, 0.1472, 0.8392], [0.6472, 0.4028, 0.3392], [0.8528, 0.0972, 0.3392], [0.9028, 0.3528, 0.8392], [0.0402, 0.6149, 0.6703], [0.1149, 0.9598, 0.1703], [0.3851, 0.5402, 0.1703], [0.4598, 0.8851, 0.6703], [0.5402, 0.1149, 0.3297], [0.6149, 0.4598, 0.8297], [0.8851, 0.0402, 0.8297], [0.9598, 0.3851, 0.3297]]}